DFT (PBE-GGA) results for a relaxed structure of Ac2AgO4F.

Results
Calculated volume, Å³ per atom: 15.6
Crystal system: monoclinic
Energy relative to the elements, uncorrected, eV per atom: -2.334

a = 10.2957 Å, b = 3.7590 Å, c = 7.0597 Å
α = 90.00°, β = 113.90°, γ = 90.00°
Last column: nearest neighbours and their distance in Å.
Space group C2/m (No. 12)
Asymmetric unit:
Ac 0.1868 0.0000 0.2150 x4  5 O 2.43-2.64, 2 F 2.68
Ag 0.0000 0.0000 0.5000 x2  2 O 2.07
O 0.1302 0.5000 0.4334 x4  3 Ac 2.43-2.64, 2 Ag 2.46
O 0.1519 0.0000 0.8023 x4  1 Ag 2.07
F 0.0000 0.5000 0.0000 x2  4 Ac 2.68, 2 O 2.80


DFT (PBE-GGA) results for a relaxed structure of AcAgPF.

Results
Calculated volume, Å³ per atom: 19.8
Crystal system: tetragonal
Energy relative to the elements, uncorrected, eV per atom: -1.900

a = 4.1738 Å, b = 4.1738 Å, c = 9.1063 Å
α = 90.00°, β = 90.00°, γ = 90.00°
Last column: nearest neighbours and their distance in Å.
Space group P4/nmm (No. 129, origin choice 2)
Asymmetric unit:
Ac 0.2500 0.2500 0.1847 x2  4 F 2.68
Ag 0.2500 0.7500 0.5000 x2  4 P 2.71, 4 Ag 2.95
P 0.2500 0.2500 0.6896 x2  4 Ag 2.71
F 0.2500 0.7500 0.0000 x2  4 Ac 2.68, 4 F 2.95


DFT (PBE-GGA) results for a relaxed structure of AcAgPdF6.

Results
Calculated volume, Å³ per atom: 18.1
Crystal system: trigonal
Energy relative to the elements, uncorrected, eV per atom: -2.385

a = 5.9035 Å, b = 5.9035 Å, c = 5.3958 Å
α = 90.00°, β = 90.00°, γ = 120.00°
Last column: nearest neighbours and their distance in Å.
Space group P312 (No. 149)
Asymmetric unit:
Ac 0.0000 0.0000 0.0000 x1  6 F 2.44
Ag 0.3333 0.6667 0.5000 x1  6 F 2.47
Pd 0.6667 0.3333 0.5000 x1  6 F 2.22
F 0.3514 0.0339 0.7363 x6  1 Pd 2.22, 1 Ac 2.44, 1 Ag 2.47


DFT (PBE-GGA) results for a relaxed structure of Rb2AcAgF6.

Results
Calculated volume, Å³ per atom: 21.6
Crystal system: monoclinic
Energy relative to the elements, uncorrected, eV per atom: -2.915

a = 6.7091 Å, b = 6.9190 Å, c = 11.3506 Å
α = 90.00°, β = 125.06°, γ = 90.00°
Last column: nearest neighbours and their distance in Å.
Space group P2_1/c (No. 14)
Asymmetric unit:
Rb 0.2330 0.0501 0.2483 x4  6 F 2.82-3.16
Ac 0.5000 0.0000 0.0000 x2  6 F 2.41-2.42
Ag 0.0000 0.0000 0.5000 x2  6 F 2.46-2.60
F 0.1615 0.1930 0.9516 x4  1 Ac 2.41, 1 Ag 2.58
F 0.2522 0.7161 0.9430 x4  1 Ac 2.41, 1 Ag 2.60
F 0.3529 0.0440 0.7507 x4  1 Ac 2.42, 1 Ag 2.46


DFT (PBE-GGA) results for a relaxed structure of RbAcAg2F8.

Results
Calculated volume, Å³ per atom: 17.5
Crystal system: tetragonal
Energy relative to the elements, uncorrected, eV per atom: -2.375

a = 6.3314 Å, b = 6.3314 Å, c = 10.4893 Å
α = 90.00°, β = 90.00°, γ = 90.00°
Last column: nearest neighbours and their distance in Å.
Space group I-4 (No. 82)
Asymmetric unit:
Rb 0.0000 0.0000 0.0000 x2  8 F 2.89
Ac 0.0000 0.5000 0.2500 x2  8 F 2.49-2.57
Ag 0.0000 0.0000 0.5000 x2  4 F 2.11
Ag 0.0000 0.5000 0.7500 x2  4 F 2.15
F 0.0870 0.3156 0.4614 x8  1 Ag 2.11
F 0.1702 0.7896 0.7778 x8  1 Ag 2.15


DFT (PBE-GGA) results for a relaxed structure of AcAgSbF.

Results
Calculated volume, Å³ per atom: 23.1
Crystal system: tetragonal
Energy relative to the elements, uncorrected, eV per atom: -1.802

a = 4.4769 Å, b = 4.4769 Å, c = 9.2109 Å
α = 90.00°, β = 90.00°, γ = 90.00°
Last column: nearest neighbours and their distance in Å.
Space group P4/nmm (No. 129, origin choice 2)
Asymmetric unit:
Ac 0.2500 0.2500 0.1687 x2  4 F 2.73
Ag 0.2500 0.7500 0.5000 x2  4 Sb 2.89, 4 Ag 3.17
Sb 0.2500 0.2500 0.6978 x2  4 Ag 2.89
F 0.2500 0.7500 0.0000 x2  4 Ac 2.73


DFT (PBE-GGA) results for a relaxed structure of AcScAg2F8.

Results
Calculated volume, Å³ per atom: 16.0
Crystal system: monoclinic
Energy relative to the elements, uncorrected, eV per atom: -2.984

a = 4.3139 Å, b = 7.6398 Å, c = 5.8294 Å
α = 90.00°, β = 93.85°, γ = 90.00°
Last column: nearest neighbours and their distance in Å.
Space group P2/m (No. 10)
Asymmetric unit:
Ac 0.0000 0.0000 0.0000 x1  8 F 2.47-2.65
Sc 0.0000 0.5000 0.0000 x1  6 F 2.03-2.10
Ag 0.5000 0.2724 0.5000 x2  6 F 2.46-2.58
F 0.0832 0.2835 0.7911 x4  1 Sc 2.10
F 0.3977 0.5000 0.2061 x2  1 Sc 2.03
F 0.4972 0.0000 0.2375 x2  2 Ac 2.47-2.65, 2 Ag 2.58


Question: Among the records above, which one has the lowest energy relative to the elements, uncorrected?
Answer: AcScAg2F8


Question: energy relative to the elements, uncorrected of number 7 (AcScAg2F8)?
Answer: -2.984 eV per atom


Question: The lowest calculated volume belongs to which entry?
Answer: Ac2AgO4F